{
  "formula": "La3HfMo",
  "functional": "PBE",
  "state": "optimized geometry",
  "lattice_angstrom": [[5.579, 0.000, 0.000], [0.000, 5.579, 0.000], [0.000, 0.000, 5.579]],
  "species": ["Mo", "Hf", "La", "La", "La"],
  "fractional_positions": [[0.500, 0.500, 0.500], [0.000, 0.000, 0.000], [0.000, 0.500, 0.000], [0.000, 0.000, 0.500], [0.500, 0.000, 0.000]],
  "volume_a3_per_atom": 34.7,
  "relative_energy_mev_per_atom": 823.0,
  "delta_e_f_mev_per_atom": 1502,
  "sg": "Pm-3m, No. 221",
  "density_g_cm3": 6.61
}